# 1
Pm2NdTe4: optimized geometry, PBE.

Structure (POSCAR):
```
Pm2NdTe4
1.0
2.178 -7.349 0.000
2.178 7.349 0.000
0.000 0.000 15.268
Pm Nd Te
4 2 8
Direct
0.131 0.869 0.569 Pm
0.131 0.869 0.931 Pm
0.869 0.131 0.069 Pm
0.869 0.131 0.431 Pm
0.374 0.626 0.750 Nd
0.626 0.374 0.250 Nd
0.033 0.967 0.750 Te
0.222 0.778 0.123 Te
0.222 0.778 0.377 Te
0.500 0.500 0.000 Te
0.500 0.500 0.500 Te
0.778 0.222 0.623 Te
0.778 0.222 0.877 Te
0.967 0.033 0.250 Te
```

Computed properties:
As for the space group: Cmcm (63). The value obtained for the density of states at the Fermi level is 5.58 states/eV/cell. The calculation puts the total moment at 0.00 Bohr magnetons per cell. As for the distance to the lowest polymorph of the same formula: 0.004 eV/atom.

# 2
ZnMoBr2: optimized geometry, PBE.

Structure (POSCAR):
```
ZnMoBr2
1.0
9.822 0.000 0.000
0.000 3.253 0.000
-2.672 0.000 7.336
Zn Mo Br
2 2 4
Direct
0.000 0.000 0.000 Zn
0.500 0.500 0.000 Zn
0.226 0.500 0.000 Mo
0.726 0.000 0.000 Mo
0.184 0.000 0.725 Br
0.333 0.000 0.275 Br
0.684 0.500 0.725 Br
0.833 0.500 0.275 Br
```

Computed properties:
As for the space group: Cm (8). The value obtained for the density of states at the Fermi level is 2.53 states/eV/cell. The calculation puts the total moment at 3.56 Bohr magnetons per cell. As for the distance to the lowest polymorph of the same formula: 0.077 eV/atom.